Record 1
Material: ZrTeO2F
Method: DFT, PBE-GGA
State: optimized geometry

```
ZrTeO2F
1.0
-2.771 2.478 -1.972
-0.204 -2.755 -3.175
-3.557 -2.245 2.176
Te O Zr F
1 2 1 1
Cartesian
0.000 0.000 0.000
-0.102 -1.377 -1.587
-1.385 1.239 -0.986
-3.266 -1.261 -1.485
-1.779 -1.123 1.088
```

Output
- SG: P4/mmm (123)
- Magnetization: 0.45 μB per atom
- Uncorrected formation energy: -0.5048 eV per atom

=====

Record 2
Material: ZrTeOF2
Method: DFT, PBE-GGA
State: optimized geometry

```
ZrTeOF2
1.0
-2.044 1.928 3.909
2.781 -2.748 2.809
2.838 2.919 0.044
Te O Zr F
1 1 1 2
Cartesian
0.000 0.000 0.000
1.419 1.459 0.022
1.788 1.049 3.381
1.391 -1.374 1.404
-1.022 0.964 1.955
```

Output
- SG: P4/mmm (123)
- Energy above the lowest structure with this stoichiometry: 1534 meV per atom
- Magnetization: 0.39 μB per atom
- Uncorrected formation energy: -0.5229 eV per atom

=====

Record 3
Material: ThO2F4
Method: DFT, PBE-GGA
State: optimized geometry

```
ThO2F4
1.0
3.889 0.000 -0.650
-0.182 3.899 -1.085
-0.700 -0.161 7.758
Th O F
1 2 4
Cartesian
0.000 0.000 0.000
0.481 1.359 2.873
2.526 2.379 3.150
0.104 2.274 0.623
2.903 1.465 5.400
0.864 3.462 5.157
2.143 0.276 0.866
```

Output
- SG: C2/m (12)
- Magnetization: 0.57 μB per atom
- Uncorrected formation energy: -2.1531 eV per atom

=====

Record 4
Material: TiOF
Method: DFT, PBE-GGA
State: optimized geometry

```
TiOF
1.0
-3.591 -3.134 0.144
0.551 -0.396 5.121
-3.683 4.263 0.919
Ti O F
4 4 4
Cartesian
-2.940 -0.071 1.499
-3.104 3.525 1.892
-3.620 -2.792 4.292
-3.783 0.804 4.685
-1.271 -0.214 0.612
-3.227 1.817 1.076
-3.496 -1.085 5.108
-5.453 0.946 5.572
-2.994 -2.052 2.357
-4.688 0.208 2.810
-2.035 0.524 3.374
-3.730 2.784 3.827
```

Output
- SG: P2_1/c (14)
- Magnetization: 0.34 μB per atom
- Uncorrected formation energy: -3.0482 eV per atom

=====

Record 5
Material: TiOF
Method: DFT, PBE-GGA
State: optimized geometry

```
TiOF
1.0
4.926 0.000 -0.002
0.000 5.074 0.556
0.002 0.582 5.213
F O Ti
4 4 4
Cartesian
3.956 2.777 4.762
3.434 2.486 2.156
0.971 2.880 1.006
1.493 3.171 3.612
1.223 0.576 2.571
1.242 0.867 5.177
3.704 5.080 3.197
3.685 4.789 0.591
2.270 4.302 1.972
4.733 1.064 1.189
2.658 1.355 3.796
0.195 4.593 4.579
```

Output
- SG: P2_1/c (14)
- Magnetization: 0.33 μB per atom
- Uncorrected formation energy: -3.0209 eV per atom

=====

Record 6
Material: TiOF
Method: DFT, PBE-GGA
State: optimized geometry

```
TiOF
1.0
4.992 0.000 0.000
0.000 3.105 0.000
0.000 -1.553 2.689
Ti O F
1 1 1
Cartesian
0.146 0.000 0.000
0.930 0.000 1.793
3.916 1.553 0.896
```

Output
- SG: P3m1 (156)
- Magnetization: 0.33 μB per atom
- Uncorrected formation energy: -2.8864 eV per atom

=====

Record 7
Material: Ti2O3F
Method: DFT, PBE-GGA
State: optimized geometry

```
Ti2O3F
1.0
-2.841 -0.689 0.206
-0.337 -0.046 -4.789
2.157 -8.909 -0.066
Ti O F
4 6 2
Cartesian
-1.419 -1.550 -3.904
0.683 -3.303 -1.628
1.137 -5.652 -3.228
0.398 -8.094 -0.746
0.000 0.000 0.000
-0.510 -4.822 -2.325
-0.111 -6.978 -4.025
-0.910 -2.666 -0.624
1.521 -6.785 -1.735
0.300 -2.170 -3.121
1.079 -4.455 -0.033
-1.589 -0.368 -2.291
```

Output
- SG: Pnnm (58)
- Magnetization: 0.00 μB per atom
- Uncorrected formation energy: -3.0734 eV per atom

=====

Record 8
Material: Ti2OF
Method: DFT, PBE-GGA
State: optimized geometry

```
Ti2OF
1.0
0.000 2.739 2.739
2.739 0.000 2.739
2.739 2.739 0.000
F O Ti
1 1 2
Cartesian
2.739 2.739 2.739
0.000 0.000 0.000
1.369 1.369 1.369
4.108 4.108 4.108
```

Output
- SG: Fm-3m (225)
- Energy above the lowest structure with this stoichiometry: 387 meV per atom
- Magnetization: 0.00 μB per atom
- Uncorrected formation energy: -1.4324 eV per atom

=====

Record 9
Material: Ti2OF
Method: DFT, PBE-GGA
State: optimized geometry

```
Ti2OF
1.0
-1.119 -4.590 -0.673
3.924 -1.306 2.382
-1.132 -2.943 5.032
F O Ti
2 2 4
Cartesian
0.000 0.000 0.000
-0.424 -5.240 2.606
1.402 -2.948 0.854
2.097 -3.598 4.134
-0.439 -3.551 1.167
1.977 -2.342 2.631
0.388 -4.480 4.527
1.420 -7.304 5.156
```

Output
- SG: I-42d (122)
- Energy above the lowest structure with this stoichiometry: 0 meV per atom
- Magnetization: 0.25 μB per atom
- Uncorrected formation energy: -1.8189 eV per atom

=====

Record 10
Material: TiOF
Method: DFT, PBE-GGA
State: optimized geometry

```
TiOF
1.0
-0.916 -0.572 -2.674
2.646 -0.897 -0.715
-0.949 -3.687 1.113
F O Ti
1 1 1
Cartesian
-0.475 -1.843 0.557
0.865 -0.734 -1.694
0.000 0.000 0.000
```

Output
- SG: P4/mmm (123)
- Magnetization: 0.00 μB per atom
- Uncorrected formation energy: -3.0880 eV per atom

=====

Record 11
Material: TiOF
Method: DFT, PBE-GGA
State: optimized geometry

```
TiOF
1.0
-2.210 0.677 2.015
1.213 -3.027 2.348
3.835 3.807 2.926
Ti O F
2 2 2
Cartesian
1.267 2.693 2.818
2.070 -0.061 2.291
1.505 1.494 1.148
1.832 1.139 3.960
3.187 3.163 2.431
0.150 -0.531 2.677
```

Output
- SG: Pmmn (59)
- Magnetization: 0.00 μB per atom
- Uncorrected formation energy: -3.0262 eV per atom

=====

Record 12
Material: TiTlO2F
Method: DFT, PBE-GGA
State: optimized geometry

```
TiTlO2F
1.0
4.308 0.000 0.000
0.000 4.308 0.000
0.000 0.000 4.359
Tl F O Ti
1 1 2 1
Cartesian
0.000 0.000 0.000
0.000 0.000 2.179
0.000 2.154 0.000
2.154 0.000 0.000
2.154 2.154 2.179
```

Output
- SG: P4/mmm (123)
- Magnetization: 0.04 μB per atom
- Uncorrected formation energy: -0.4498 eV per atom

=====

Record 13
Material: TiTlOF2
Method: DFT, PBE-GGA
State: optimized geometry

```
TiTlOF2
1.0
4.578 0.000 0.000
0.000 4.578 0.000
0.000 0.000 4.298
Tl F O Ti
1 2 1 1
Cartesian
0.000 0.000 0.000
0.000 2.289 0.000
2.289 0.000 0.000
0.000 0.000 2.149
2.289 2.289 2.149
```

Output
- SG: P4/mmm (123)
- Energy above the lowest structure with this stoichiometry: 1651 meV per atom
- Magnetization: 0.50 μB per atom
- Uncorrected formation energy: -0.7854 eV per atom

=====

Record 14
Material: TiTlOF2
Method: DFT, PBE-GGA
State: optimized geometry

```
TiTlOF2
1.0
4.318 0.000 0.000
0.000 4.318 0.000
0.000 0.000 3.877
Tl F O Ti
1 2 1 1
Cartesian
2.159 2.159 1.938
0.000 2.159 0.000
2.159 0.000 0.000
0.000 0.000 1.938
0.000 0.000 0.000
```

Output
- SG: P4/mmm (123)
- Energy above the lowest structure with this stoichiometry: 0 meV per atom
- Magnetization: 0.20 μB per atom
- Uncorrected formation energy: -2.4360 eV per atom

=====

Record 15
Material: TiTlO2F
Method: DFT, PBE-GGA
State: optimized geometry

```
TiTlO2F
1.0
-1.581 -3.251 1.552
2.496 -2.210 -2.088
2.851 0.160 3.239
Tl F O Ti
1 1 2 1
Cartesian
1.883 -2.651 1.351
1.425 0.080 1.619
1.248 -1.105 -1.044
-0.790 -1.626 0.776
0.000 0.000 0.000
```

Output
- SG: P4/mmm (123)
- Magnetization: 0.00 μB per atom
- Uncorrected formation energy: -2.2951 eV per atom